Compound: CsCaNiF6
Source: Alexandria
Functional: GGA+U
Structure: relaxed

The structure in POSCAR format:
```
CsCaNiF6
1.0
-6.396 -2.123 3.863
0.803 -7.131 -2.588
5.642 3.468 3.438
Cs Ca Ni F
2 2 2 12
direct
0.856 0.606 0.713
0.144 0.394 0.287
0.500 0.000 0.500
0.000 0.000 0.500
0.500 0.500 0.000
0.500 0.000 0.000
0.545 0.795 0.091
0.852 0.102 0.705
0.802 0.145 0.260
0.458 0.616 0.260
0.458 0.145 0.260
0.802 0.616 0.260
0.455 0.205 0.909
0.148 0.898 0.295
0.198 0.855 0.740
0.542 0.384 0.740
0.542 0.855 0.740
0.198 0.384 0.740
```

Output
energy: -4.5867 eV/atom
theoretical density: 3.8 Mg/m³